1.
First-principles (PBE-GGA) data for a geometry-optimized NbPd3N structure, as listed in Alexandria.

a b c (Å): 4.8790 4.8790 4.8790
angles (deg): 90.00 90.00 90.00
With the nearest neighbours (Å) after each atom.
Space group Pm-3m (No. 221)
Symmetry-distinct sites (fractional):
Nb 0.0000 0.0000 0.0000  6 Pd 2.44
Pd 0.0000 0.0000 0.5000  2 Nb 2.44
N 0.5000 0.5000 0.5000  12 Pd 3.45

Calculated values
ΔE to the lowest computed polymorph (meV/atom): 1560
Size of the total moment (μB/cell): 2.14
Uncorrected formation energy (eV per atom): 1.97
DOS(E_F) (states/eV/f.u.): 3.86

***

2.
First-principles (PBE-GGA) data for a geometry-optimized Nb4PdN structure, as listed in Alexandria.

a b c (Å): 7.4015 4.7884 6.3315
angles (deg): 90.00 111.83 90.00
With the nearest neighbours (Å) after each atom.
Space group P2_1/c (No. 14)
Symmetry-distinct sites (fractional):
Nb 0.1325 0.2389 0.3079  2 N 2.16-2.21
Nb 0.2410 0.7184 0.1048  1 N 2.14
Pd 0.5000 0.0000 0.0000  6 Nb 2.62-2.83
N 0.0000 0.0000 0.0000  6 Nb 2.14-2.21

Calculated values
Size of the total moment (μB/cell): 0.00
Uncorrected formation energy (eV per atom): -0.16
DOS(E_F) (states/eV/f.u.): 5.55

***

3.
First-principles (PBE-GGA) data for a geometry-optimized Nb3Pd3N structure, as listed in Alexandria.

a b c (Å): 11.9321 11.9321 11.9321
angles (deg): 90.00 90.00 90.00
With the nearest neighbours (Å) after each atom.
Space group Fd-3m (No. 227, origin choice 2)
Symmetry-distinct sites (fractional):
Nb 0.0528 0.3750 0.3750  2 N 2.20
Pd 0.0000 0.0000 0.5000  6 Pd 2.61
Pd 0.0375 0.0375 0.7125  3 Pd 2.61, 3 Nb 2.75
N 0.0000 0.0000 0.0000  6 Nb 2.20

Calculated values
Size of the total moment (μB/cell): 0.00
Uncorrected formation energy (eV per atom): -0.48
DOS(E_F) (states/eV/f.u.): 4.95

***

4.
First-principles (PBE-GGA) data for a geometry-optimized Nb2PdN structure, as listed in Alexandria.

a b c (Å): 5.2365 5.2365 10.4925
angles (deg): 90.00 90.00 90.00
With the nearest neighbours (Å) after each atom.
Space group I-42d (No. 122)
Symmetry-distinct sites (fractional):
Nb 0.1578 0.2500 0.1250  2 N 2.03
Pd 0.0000 0.0000 0.5000  4 Nb 2.58
N 0.0000 0.0000 0.0000  4 Nb 2.03

Calculated values
Size of the total moment (μB/cell): 0.00
Uncorrected formation energy (eV per atom): -0.12
DOS(E_F) (states/eV/f.u.): 3.46

***

5.
First-principles (PBE-GGA) data for a geometry-optimized Nb4Pd2N structure, as listed in Alexandria.

a b c (Å): 12.0343 12.0343 12.0343
angles (deg): 90.00 90.00 90.00
With the nearest neighbours (Å) after each atom.
Space group Fd-3m (No. 227, origin choice 2)
Symmetry-distinct sites (fractional):
Nb 0.0000 0.0000 0.0000  6 Pd 2.61
Nb 0.0528 0.3750 0.8750  2 N 2.22
Pd 0.0413 0.0413 0.2087  6 Nb 2.61-2.83, 3 Pd 2.85
N 0.0000 0.0000 0.5000  6 Nb 2.22

Calculated values
ΔE to the lowest computed polymorph (meV/atom): 0
Size of the total moment (μB/cell): 0.00
Uncorrected formation energy (eV per atom): -0.55
DOS(E_F) (states/eV/f.u.): 4.09

***

6.
First-principles (PBE-GGA) data for a geometry-optimized NbPdN structure, as listed in Alexandria.

a b c (Å): 3.0231 3.0231 4.3666
angles (deg): 90.00 90.00 90.00
With the nearest neighbours (Å) after each atom.
Space group P4/mmm (No. 123)
Symmetry-distinct sites (fractional):
Nb 0.0000 0.0000 0.0000  4 N 2.14
Pd 0.5000 0.5000 0.5000  2 N 2.18
N 0.5000 0.5000 0.0000  4 Nb 2.14, 2 Pd 2.18

Calculated values
ΔE to the lowest computed polymorph (meV/atom): 18
Size of the total moment (μB/cell): 0.00
Uncorrected formation energy (eV per atom): -0.56
DOS(E_F) (states/eV/f.u.): 1.86

***

7.
First-principles (PBE-GGA) data for a geometry-optimized Nb2RePdN structure, as listed in Alexandria.

a b c (Å): 4.2616 4.2616 4.0326
angles (deg): 90.00 90.00 90.00
With the nearest neighbours (Å) after each atom.
Space group P4/mmm (No. 123)
Symmetry-distinct sites (fractional):
Nb 0.0000 0.5000 0.0000  2 N 2.13
Re 0.0000 0.0000 0.5000  2 N 2.02
Pd 0.5000 0.5000 0.5000  8 Nb 2.93, 4 Re 3.01
N 0.0000 0.0000 0.0000  2 Re 2.02, 4 Nb 2.13

Calculated values
Size of the total moment (μB/cell): 0.00
Uncorrected formation energy (eV per atom): -0.35
DOS(E_F) (states/eV/f.u.): 3.85

***

8.
First-principles (PBE-GGA) data for a geometry-optimized NbPdSN2 structure, as listed in Alexandria.

a b c (Å): 3.9446 3.9446 5.2592
angles (deg): 90.00 90.00 90.00
With the nearest neighbours (Å) after each atom.
Space group P4/mmm (No. 123)
Symmetry-distinct sites (fractional):
Nb 0.0000 0.0000 0.0000  4 N 1.97
Pd 0.5000 0.5000 0.5000  4 S 2.79
S 0.0000 0.0000 0.5000  2 Nb 2.63, 4 Pd 2.79
N 0.0000 0.5000 0.0000  2 Nb 1.97

Calculated values
ΔE to the lowest computed polymorph (meV/atom): 0
Size of the total moment (μB/cell): 1.12
Uncorrected formation energy (eV per atom): 0.50
DOS(E_F) (states/eV/f.u.): 3.68

***

9.
First-principles (PBE-GGA) data for a geometry-optimized NbPdSN2 structure, as listed in Alexandria.

a b c (Å): 3.9475 3.9475 4.6012
angles (deg): 90.00 90.00 90.00
With the nearest neighbours (Å) after each atom.
Space group P4/mmm (No. 123)
Symmetry-distinct sites (fractional):
Nb 0.0000 0.0000 0.0000  4 S 2.79, 8 N 3.03
Pd 0.5000 0.5000 0.5000  4 N 1.97
S 0.5000 0.5000 0.0000  2 Pd 2.30
N 0.0000 0.5000 0.5000  2 Pd 1.97

Calculated values
ΔE to the lowest computed polymorph (meV/atom): 806
Size of the total moment (μB/cell): 0.08
Uncorrected formation energy (eV per atom): 1.31
DOS(E_F) (states/eV/f.u.): 3.49

***

10.
First-principles (PBE-GGA) data for a geometry-optimized Sc2NbPdN structure, as listed in Alexandria.

a b c (Å): 4.3613 4.3613 4.2694
angles (deg): 90.00 90.00 90.00
With the nearest neighbours (Å) after each atom.
Space group P4/mmm (No. 123)
Symmetry-distinct sites (fractional):
Sc 0.0000 0.5000 0.0000  2 N 2.18
Nb 0.0000 0.0000 0.5000  2 N 2.13
Pd 0.5000 0.5000 0.5000  8 Sc 3.05, 4 Nb 3.08
N 0.0000 0.0000 0.0000  2 Nb 2.13, 4 Sc 2.18

Calculated values
Size of the total moment (μB/cell): 0.00
Uncorrected formation energy (eV per atom): -0.89
DOS(E_F) (states/eV/f.u.): 4.47

***

11.
First-principles (PBE-GGA) data for a geometry-optimized Nb2SiPdN structure, as listed in Alexandria.

a b c (Å): 4.7067 4.7067 4.2716
angles (deg): 90.00 90.00 90.00
With the nearest neighbours (Å) after each atom.
Space group P4/mmm (No. 123)
Symmetry-distinct sites (fractional):
Nb 0.0000 0.5000 0.0000  2 Si 2.35
Si 0.0000 0.0000 0.0000  2 Pd 2.14, 4 Nb 2.35
Pd 0.0000 0.0000 0.5000  2 Si 2.14
N 0.5000 0.5000 0.5000  8 Nb 3.18, 4 Pd 3.33

Calculated values
Size of the total moment (μB/cell): 0.00
Uncorrected formation energy (eV per atom): 1.51
DOS(E_F) (states/eV/f.u.): 8.78

***

12.
First-principles (PBE-GGA) data for a geometry-optimized TaNb2PdN structure, as listed in Alexandria.

a b c (Å): 4.2624 4.2624 4.2128
angles (deg): 90.00 90.00 90.00
With the nearest neighbours (Å) after each atom.
Space group P4/mmm (No. 123)
Symmetry-distinct sites (fractional):
Ta 0.0000 0.0000 0.0000  2 N 2.11
Nb 0.0000 0.5000 0.5000  2 N 2.13
Pd 0.5000 0.5000 0.0000  8 Nb 3.00, 4 Ta 3.01
N 0.0000 0.0000 0.5000  2 Ta 2.11, 4 Nb 2.13

Calculated values
Size of the total moment (μB/cell): 0.00
Uncorrected formation energy (eV per atom): -0.54
DOS(E_F) (states/eV/f.u.): 3.27

***

13.
First-principles (PBE-GGA) data for a geometry-optimized Ta2NbPdN structure, as listed in Alexandria.

a b c (Å): 4.2246 4.2246 4.2666
angles (deg): 90.00 90.00 90.00
With the nearest neighbours (Å) after each atom.
Space group P4/mmm (No. 123)
Symmetry-distinct sites (fractional):
Ta 0.0000 0.5000 0.0000  2 N 2.11
Nb 0.0000 0.0000 0.5000  2 N 2.13
Pd 0.5000 0.5000 0.5000  4 Nb 2.99, 8 Ta 3.00
N 0.0000 0.0000 0.0000  4 Ta 2.11, 2 Nb 2.13

Calculated values
Size of the total moment (μB/cell): 0.00
Uncorrected formation energy (eV per atom): -0.53
DOS(E_F) (states/eV/f.u.): 3.24

***

14.
First-principles (PBE-GGA) data for a geometry-optimized NbTc2PdN structure, as listed in Alexandria.

a b c (Å): 4.0568 4.0568 4.2130
angles (deg): 90.00 90.00 90.00
With the nearest neighbours (Å) after each atom.
Space group P4/mmm (No. 123)
Symmetry-distinct sites (fractional):
Nb 0.0000 0.0000 0.0000  2 N 2.11
Tc 0.0000 0.5000 0.5000  2 N 2.03
Pd 0.5000 0.5000 0.0000  4 Nb 2.87, 8 Tc 2.92
N 0.0000 0.0000 0.5000  4 Tc 2.03, 2 Nb 2.11

Calculated values
Size of the total moment (μB/cell): 0.00
Uncorrected formation energy (eV per atom): -0.23
DOS(E_F) (states/eV/f.u.): 4.33

***

15.
First-principles (PBE-GGA) data for a geometry-optimized NbTe2PdN structure, as listed in Alexandria.

a b c (Å): 5.4575 5.4575 3.7033
angles (deg): 90.00 90.00 90.00
With the nearest neighbours (Å) after each atom.
Space group P4/mmm (No. 123)
Symmetry-distinct sites (fractional):
Nb 0.0000 0.0000 0.0000  8 Te 3.30
Te 0.0000 0.5000 0.5000  2 Pd 2.73
Pd 0.5000 0.5000 0.5000  2 N 1.85
N 0.5000 0.5000 0.0000  2 Pd 1.85

Calculated values
ΔE to the lowest computed polymorph (meV/atom): 518
Size of the total moment (μB/cell): 2.46
Uncorrected formation energy (eV per atom): 0.83
DOS(E_F) (states/eV/f.u.): 4.52

***

16.
First-principles (PBE-GGA) data for a geometry-optimized NbTe2PdN structure, as listed in Alexandria.

a b c (Å): 5.5214 5.5214 3.8610
angles (deg): 90.00 90.00 90.00
With the nearest neighbours (Å) after each atom.
Space group P4/mmm (No. 123)
Symmetry-distinct sites (fractional):
Nb 0.0000 0.0000 0.0000  2 N 1.93
Te 0.0000 0.5000 0.0000  2 Nb 2.76
Pd 0.5000 0.5000 0.5000  8 Te 3.37
N 0.0000 0.0000 0.5000  2 Nb 1.93

Calculated values
ΔE to the lowest computed polymorph (meV/atom): 0
Size of the total moment (μB/cell): 0.00
Uncorrected formation energy (eV per atom): 0.31
DOS(E_F) (states/eV/f.u.): 3.58

***

17.
First-principles (PBE-GGA) data for a geometry-optimized Th2NbPdN5 structure, as listed in Alexandria.

a b c (Å): 3.4026 13.3815 10.6381
angles (deg): 90.00 90.00 90.00
With the nearest neighbours (Å) after each atom.
Space group Cmc2_1 (No. 36)
Symmetry-distinct sites (fractional):
Th 0.0000 0.1012 0.0000  6 N 2.38-2.63
Th 0.0000 0.1433 0.6260  8 N 2.47-2.64
Nb 0.0000 0.1996 0.3356  1 N 1.95
Pd 0.0000 0.4716 0.7701  5 N 2.06-2.25
N 0.0000 0.0632 0.4010  1 Nb 1.95
N 0.0000 0.2775 0.9707  2 Nb 2.25, 1 Th 2.38
N 0.0000 0.3198 0.6961  1 Pd 2.18, 2 Nb 2.27
N 0.0000 0.3658 0.3158  1 Pd 2.23, 1 Nb 2.24
N 0.0000 0.4862 0.0838  1 Pd 2.06

Calculated values
Size of the total moment (μB/cell): 0.00
Uncorrected formation energy (eV per atom): -0.89
DOS(E_F) (states/eV/f.u.): 2.74

***

18.
First-principles (PBE-GGA) data for a geometry-optimized TiNb2PdN structure, as listed in Alexandria.

a b c (Å): 4.2682 4.2682 4.0818
angles (deg): 90.00 90.00 90.00
With the nearest neighbours (Å) after each atom.
Space group P4/mmm (No. 123)
Symmetry-distinct sites (fractional):
Ti 0.0000 0.0000 0.0000  2 N 2.04
Nb 0.0000 0.5000 0.5000  2 N 2.13
Pd 0.5000 0.5000 0.0000  8 Nb 2.95, 4 Ti 3.02
N 0.0000 0.0000 0.5000  2 Ti 2.04, 4 Nb 2.13

Calculated values
Size of the total moment (μB/cell): 0.00
Uncorrected formation energy (eV per atom): -0.69
DOS(E_F) (states/eV/f.u.): 4.66

***

19.
First-principles (PBE-GGA) data for a geometry-optimized NbVPd2N structure, as listed in Alexandria.

a b c (Å): 4.2306 4.2306 3.9131
angles (deg): 90.00 90.00 90.00
With the nearest neighbours (Å) after each atom.
Space group P4/mmm (No. 123)
Symmetry-distinct sites (fractional):
Nb 0.0000 0.0000 0.0000  8 Pd 2.88, 4 V 2.99
V 0.5000 0.5000 0.0000  2 N 1.96
Pd 0.0000 0.5000 0.5000  2 N 2.12
N 0.5000 0.5000 0.5000  2 V 1.96, 4 Pd 2.12

Calculated values
Size of the total moment (μB/cell): 0.00
Uncorrected formation energy (eV per atom): 0.03
DOS(E_F) (states/eV/f.u.): 5.42

***

20.
First-principles (PBE-GGA) data for a geometry-optimized Nb2VPdN structure, as listed in Alexandria.

a b c (Å): 4.2973 4.2973 3.8806
angles (deg): 90.00 90.00 90.00
With the nearest neighbours (Å) after each atom.
Space group P4/mmm (No. 123)
Symmetry-distinct sites (fractional):
Nb 0.0000 0.5000 0.0000  2 N 2.15
V 0.0000 0.0000 0.5000  2 N 1.94
Pd 0.5000 0.5000 0.5000  8 Nb 2.90, 4 V 3.04
N 0.0000 0.0000 0.0000  2 V 1.94, 4 Nb 2.15

Calculated values
Size of the total moment (μB/cell): 0.00
Uncorrected formation energy (eV per atom): -0.58
DOS(E_F) (states/eV/f.u.): 4.04

***

21.
First-principles (PBE-GGA) data for a geometry-optimized NbV2PdN structure, as listed in Alexandria.

a b c (Å): 3.9427 3.9427 4.2839
angles (deg): 90.00 90.00 90.00
With the nearest neighbours (Å) after each atom.
Space group P4/mmm (No. 123)
Symmetry-distinct sites (fractional):
Nb 0.0000 0.0000 0.0000  2 N 2.14
V 0.0000 0.5000 0.5000  2 N 1.97
Pd 0.5000 0.5000 0.0000  4 Nb 2.79, 8 V 2.91
N 0.0000 0.0000 0.5000  4 V 1.97, 2 Nb 2.14

Calculated values
Size of the total moment (μB/cell): 0.00
Uncorrected formation energy (eV per atom): -0.58
DOS(E_F) (states/eV/f.u.): 4.27

***

22.
First-principles (PBE-GGA) data for a geometry-optimized Y2NbPdN structure, as listed in Alexandria.

a b c (Å): 4.8606 4.8606 4.1251
angles (deg): 90.00 90.00 90.00
With the nearest neighbours (Å) after each atom.
Space group P4/mmm (No. 123)
Symmetry-distinct sites (fractional):
Y 0.0000 0.5000 0.0000  2 N 2.43
Nb 0.0000 0.0000 0.5000  2 N 2.06
Pd 0.5000 0.5000 0.5000  8 Y 3.19, 4 Nb 3.44
N 0.0000 0.0000 0.0000  2 Nb 2.06

Calculated values
ΔE to the lowest computed polymorph (meV/atom): 0
Size of the total moment (μB/cell): 1.11
Uncorrected formation energy (eV per atom): -0.76
DOS(E_F) (states/eV/f.u.): 4.22

***

23.
First-principles (PBE-GGA) data for a geometry-optimized Y2NbPdN structure, as listed in Alexandria.

a b c (Å): 5.6048 5.6048 3.7463
angles (deg): 90.00 90.00 90.00
With the nearest neighbours (Å) after each atom.
Space group P4/mmm (No. 123)
Symmetry-distinct sites (fractional):
Y 0.0000 0.5000 0.0000  2 Pd 2.80
Nb 0.0000 0.0000 0.5000  8 Y 3.37, 2 Nb 3.75
Pd 0.5000 0.5000 0.0000  2 N 1.87
N 0.5000 0.5000 0.5000  2 Pd 1.87

Calculated values
ΔE to the lowest computed polymorph (meV/atom): 1426
Size of the total moment (μB/cell): 2.83
Uncorrected formation energy (eV per atom): 0.67
DOS(E_F) (states/eV/f.u.): 5.25

***

24.
First-principles (PBE-GGA) data for a geometry-optimized Zr2NbPdN structure, as listed in Alexandria.

a b c (Å): 4.5194 4.5194 4.1465
angles (deg): 90.00 90.00 90.00
With the nearest neighbours (Å) after each atom.
Space group P4/mmm (No. 123)
Symmetry-distinct sites (fractional):
Zr 0.0000 0.5000 0.0000  2 N 2.26
Nb 0.0000 0.0000 0.5000  2 N 2.07
Pd 0.5000 0.5000 0.5000  8 Zr 3.07, 4 Nb 3.20
N 0.0000 0.0000 0.0000  2 Nb 2.07, 4 Zr 2.26

Calculated values
Size of the total moment (μB/cell): 0.00
Uncorrected formation energy (eV per atom): -0.81
DOS(E_F) (states/eV/f.u.): 2.40